Record 1
VASP calculation (PBE-GGA) on Tb3ScPd2 after structural relaxation.

CIF file:
```
data_Tb3ScPd2
_cell_length_a 15.759
_cell_length_b 4.023
_cell_length_c 4.896
_cell_angle_alpha 90.00
_cell_angle_beta 108.01
_cell_angle_gamma 90.00
_symmetry_space_group_name_H-M 'C 1 2/m 1'
_symmetry_Int_Tables_number 12
loop_
_symmetry_equiv_pos_as_xyz
'x,y,z'
'-x,-y,-z'
'-x,y,-z'
'x,-y,z'
'x+1/2,y+1/2,z'
'-x+1/2,-y+1/2,-z'
'-x+1/2,y+1/2,-z'
'x+1/2,-y+1/2,z'
loop_
_atom_site_label
_atom_site_type_symbol
_atom_site_fract_x
_atom_site_fract_y
_atom_site_fract_z
Tb1 Tb 0.000 0.000 0.000
Tb2 Tb 0.184 0.500 0.184
Sc1 Sc 0.000 0.500 0.500
Pd1 Pd 0.129 0.000 0.628
```

Uncorrected energy, eV per atom: -5.629
Size of the total moment, μB/atom: 0.0000
Calculated formation energy, eV/atom: -0.53

***

Record 2
VASP calculation (PBE-GGA) on TiV2W2 after structural relaxation.

CIF file:
```
data_TiV2W2
_cell_length_a 5.164
_cell_length_b 4.398
_cell_length_c 6.809
_cell_angle_alpha 90.00
_cell_angle_beta 102.32
_cell_angle_gamma 90.00
_symmetry_space_group_name_H-M 'P 1 21/m 1'
_symmetry_Int_Tables_number 11
loop_
_symmetry_equiv_pos_as_xyz
'x,y,z'
'-x,-y,-z'
'-x,y+1/2,-z'
'x,-y+1/2,z'
loop_
_atom_site_label
_atom_site_type_symbol
_atom_site_fract_x
_atom_site_fract_y
_atom_site_fract_z
Ti1 Ti 0.244 0.250 0.252
V1 V 0.056 0.250 0.846
V2 V 0.160 0.750 0.548
W1 W 0.341 0.750 0.954
W2 W 0.443 0.250 0.651
```

Uncorrected energy, eV per atom: -10.433
Size of the total moment, μB/atom: 0.0000
Calculated formation energy, eV/atom: -0.02
Distance to the lowest polymorph of the same formula, kJ/mol of formula units: 0.0

***

Record 3
VASP calculation (PBE-GGA) on Mg5Tl2Pd after structural relaxation.

CIF file:
```
data_Mg5Tl2Pd
_cell_length_a 4.616
_cell_length_b 4.616
_cell_length_c 16.370
_cell_angle_alpha 90.00
_cell_angle_beta 90.00
_cell_angle_gamma 90.00
_symmetry_space_group_name_H-M 'I 4/m m m'
_symmetry_Int_Tables_number 139
_symmetry_space_group_name_Hall '-I 4 2'
loop_
_atom_site_label
_atom_site_type_symbol
_atom_site_fract_x
_atom_site_fract_y
_atom_site_fract_z
Mg1 Mg 0.000 0.000 0.000
Mg2 Mg 0.000 0.500 0.109
Tl1 Tl 0.000 0.000 0.248
Pd1 Pd 0.000 0.000 0.500
```

Uncorrected energy, eV per atom: -2.406
Size of the total moment, μB/atom: 0.0000
Calculated formation energy, eV/atom: -0.17
Distance to the lowest polymorph of the same formula, kJ/mol of formula units: 16.9

***

Record 4
VASP calculation (PBE-GGA) on AlTlOs2 after structural relaxation.

CIF file:
```
data_AlTlOs2
_cell_length_a 6.351
_cell_length_b 6.351
_cell_length_c 6.351
_cell_angle_alpha 90.00
_cell_angle_beta 90.00
_cell_angle_gamma 90.00
_symmetry_space_group_name_H-M 'F m -3 m'
_symmetry_Int_Tables_number 225
_symmetry_space_group_name_Hall '-F 4 2 3'
loop_
_atom_site_label
_atom_site_type_symbol
_atom_site_fract_x
_atom_site_fract_y
_atom_site_fract_z
Al1 Al 0.000 0.000 0.000
Tl1 Tl 0.000 0.000 0.500
Os1 Os 0.250 0.250 0.250
```

Uncorrected energy, eV per atom: -6.544
Size of the total moment, μB/atom: 0.0000
Calculated formation energy, eV/atom: 0.60
Distance to the lowest polymorph of the same formula, kJ/mol of formula units: 143.3